# 1
# PBE-GGA NdTmZnSe3, relaxed
# Raw total energy (eV/cell): -114.498
data_NdTmZnSe3
_cell_length_a 3.9901
_cell_length_b 14.1593
_cell_length_c 9.9623
_cell_angle_alpha 90.00
_cell_angle_beta 90.00
_cell_angle_gamma 90.00
_symmetry_space_group_name_H-M 'C m c m'
_symmetry_Int_Tables_number 63
_symmetry_space_group_name_Hall '-C 2c 2'
loop_
_atom_site_label
_atom_site_type_symbol
_atom_site_fract_x
_atom_site_fract_y
_atom_site_fract_z
Nd1 Nd 0.0000 0.2249 0.2500
Tm1 Tm 0.0000 0.0000 0.0000
Zn1 Zn 0.0000 0.4770 0.7500
Se1 Se 0.0000 0.1128 0.7500
Se2 Se 0.0000 0.3553 0.5483


# 2
# PBE-GGA Nd2USe5, relaxed
# Raw total energy (eV/cell): -204.978
data_Nd2USe5
_cell_length_a 12.5042
_cell_length_b 8.4296
_cell_length_c 7.8749
_cell_angle_alpha 90.00
_cell_angle_beta 90.00
_cell_angle_gamma 90.00
_symmetry_space_group_name_H-M 'P n m a'
_symmetry_Int_Tables_number 62
_symmetry_space_group_name_Hall '-P 2ac 2n'
loop_
_atom_site_label
_atom_site_type_symbol
_atom_site_fract_x
_atom_site_fract_y
_atom_site_fract_z
Nd1 Nd 0.1780 0.0017 0.0242
U1 U 0.0078 0.7500 0.5711
Se1 Se 0.9997 0.2500 0.0450
Se2 Se 0.0957 0.0433 0.6640
Se3 Se 0.1844 0.7500 0.3286
Se4 Se 0.2145 0.2500 0.3042


# 3
# PBE-GGA Nd2YSe3, relaxed
# Raw total energy (eV/cell): -37.347
data_Nd2YSe3
_cell_length_a 4.1610
_cell_length_b 4.1610
_cell_length_c 10.2987
_cell_angle_alpha 90.00
_cell_angle_beta 90.00
_cell_angle_gamma 120.00
_symmetry_space_group_name_H-M 'P -3 m 1'
_symmetry_Int_Tables_number 164
_symmetry_space_group_name_Hall '-P 3 2"'
loop_
_atom_site_label
_atom_site_type_symbol
_atom_site_fract_x
_atom_site_fract_y
_atom_site_fract_z
Nd1 Nd 0.3333 0.6667 0.1692
Y1 Y 0.0000 0.0000 0.5000
Se1 Se 0.0000 0.0000 0.0000
Se2 Se 0.3333 0.6667 0.6563


# 4
# PBE-GGA NdY2Se3, relaxed
# Raw total energy (eV/cell): -38.900
data_NdY2Se3
_cell_length_a 4.1137
_cell_length_b 4.1137
_cell_length_c 10.1793
_cell_angle_alpha 90.00
_cell_angle_beta 90.00
_cell_angle_gamma 120.00
_symmetry_space_group_name_H-M 'P -3 m 1'
_symmetry_Int_Tables_number 164
_symmetry_space_group_name_Hall '-P 3 2"'
loop_
_atom_site_label
_atom_site_type_symbol
_atom_site_fract_x
_atom_site_fract_y
_atom_site_fract_z
Nd1 Nd 0.0000 0.0000 0.0000
Y1 Y 0.3333 0.6667 0.6644
Se1 Se 0.0000 0.0000 0.5000
Se2 Se 0.3333 0.6667 0.1774


# 5
# PBE-GGA Nd5YSe6, relaxed
# Raw total energy (eV/cell): -146.226
data_Nd5YSe6
_cell_length_a 7.2765
_cell_length_b 12.6276
_cell_length_c 7.2634
_cell_angle_alpha 90.00
_cell_angle_beta 109.57
_cell_angle_gamma 90.00
_symmetry_space_group_name_H-M 'C 1 2/m 1'
_symmetry_Int_Tables_number 12
_symmetry_space_group_name_Hall '-C 2y'
loop_
_atom_site_label
_atom_site_type_symbol
_atom_site_fract_x
_atom_site_fract_y
_atom_site_fract_z
Nd1 Nd 0.0000 0.0000 0.0000
Nd2 Nd 0.0000 0.1675 0.5000
Nd3 Nd 0.0000 0.3281 0.0000
Y1 Y 0.0000 0.5000 0.5000
Se1 Se 0.2423 0.5000 0.2517
Se2 Se 0.2438 0.3377 0.7442


# 6
# PBE-GGA Nd4ZnSe3, relaxed
# Raw total energy (eV/cell): -42.537
data_Nd4ZnSe3
_cell_length_a 6.0049
_cell_length_b 6.0049
_cell_length_c 6.0049
_cell_angle_alpha 90.00
_cell_angle_beta 90.00
_cell_angle_gamma 90.00
_symmetry_space_group_name_H-M 'P m -3 m'
_symmetry_Int_Tables_number 221
_symmetry_space_group_name_Hall '-P 4 2 3'
loop_
_atom_site_label
_atom_site_type_symbol
_atom_site_fract_x
_atom_site_fract_y
_atom_site_fract_z
Nd1 Nd 0.0000 0.0000 0.0000
Nd2 Nd 0.0000 0.5000 0.5000
Zn1 Zn 0.5000 0.5000 0.5000
Se1 Se 0.0000 0.0000 0.5000